1.
This record from Alexandria via LeMat-Bulk describes a geometry-optimized LaRhO6 structure. The functional is GGA-PBE.

a b c (Å): 4.644 4.644 4.644
angles (deg): 96.82 96.82 96.82
Atoms (fractional coordinates):
La: 0.000 0.000 0.000
Rh: 0.500 0.500 0.500
O: 0.211 0.211 0.592
O: 0.211 0.592 0.211
O: 0.408 0.789 0.789
O: 0.592 0.211 0.211
O: 0.789 0.408 0.789
O: 0.789 0.789 0.408

Output
SG   R-3m
Density of states at the Fermi level   6.3 states/eV per cell
Size of the total moment   0.0 μB/f.u.
Raw formation energy   -0.92 eV per atom
E_tot   -6.18 eV per atom

2.
This record from Alexandria via LeMat-Bulk describes a geometry-optimized Tc3Hg structure. The functional is GGA-PBE.

a b c (Å): 4.844 4.844 2.859
angles (deg): 90.00 90.00 109.84
Atoms (fractional coordinates):
Tc: 0.000 0.000 0.000
Tc: 0.000 0.500 0.500
Tc: 0.500 0.000 0.500
Hg: 0.500 0.500 0.000

Output
ΔH_f (0 K)   0.5534 eV per atom
SG   Cmmm
Density of states at the Fermi level   3.8 states/eV per cell
Size of the total moment   0.0 μB/f.u.
Relative energy among the computed polymorphs   257 meV per atom
E_tot   -7.30 eV per atom

- Among the records above, which one has the lowest E_tot?
  Tc3Hg

- The highest E_tot belongs to which entry?
  LaRhO6

- Which of these has the highest density of states at the Fermi level?
  LaRhO6

- Look up the size of the total moment of the second one.
  0.0 μB/f.u.